# PaPdS2 PBE optimized geometry
# Space group = No. 123
# Formation energy from raw total energies = -1.022 eV/atom
# ΔE to the lowest computed polymorph = 130 meV per atom
# Theoretical density = 9.54 g cm⁻³
data_PaPdS2
_chemical_formula_sum 'Pa1 Pd1 S2'
_cell_length_a 3.5170
_cell_length_b 4.4571
_cell_length_c 4.4571
_cell_angle_alpha 90.00
_cell_angle_beta 90.00
_cell_angle_gamma 90.00
_space_group_name_H-M_alt 'P 1'
_space_group_IT_number 1
loop_
_space_group_symop_operation_xyz
'x,y,z'
loop_
_atom_site_label
_atom_site_fract_x
_atom_site_fract_y
_atom_site_fract_z
S1 0.0000 0.5000 0.0000
Pa1 0.5000 0.0000 0.0000
S2 0.0000 0.0000 0.5000
Pd1 0.5000 0.5000 0.5000


# Si5As PBE optimized geometry
# Space group = No. 123
# Formation energy from raw total energies = 0.552 eV/atom
# ΔE to the lowest computed polymorph = 228 meV per atom
# Theoretical density = 3.85 g cm⁻³
data_Si5As
_chemical_formula_sum 'Si5 As1'
_cell_length_a 2.7641
_cell_length_b 2.7641
_cell_length_c 12.1582
_cell_angle_alpha 90.00
_cell_angle_beta 90.00
_cell_angle_gamma 90.00
_space_group_name_H-M_alt 'P 1'
_space_group_IT_number 1
loop_
_space_group_symop_operation_xyz
'x,y,z'
loop_
_atom_site_label
_atom_site_fract_x
_atom_site_fract_y
_atom_site_fract_z
Si1 0.0000 0.0000 0.5000
Si2 0.5000 0.5000 0.6551
Si3 0.0000 0.0000 0.1896
Si4 0.0000 0.0000 0.8104
As1 0.5000 0.5000 0.0000
Si5 0.5000 0.5000 0.3449


# PmSm2Zn9 PBE optimized geometry
# Calculated formation energy = -29.8 kJ per mole of atoms
# Space group = No. 166
# Theoretical density = 7.53 g cm⁻³
data_PmSm2Zn9
_chemical_formula_sum 'Pm1 Sm2 Zn9'
_cell_length_a 5.5021
_cell_length_b 5.5021
_cell_length_c 9.2615
_cell_angle_alpha 72.72
_cell_angle_beta 72.72
_cell_angle_gamma 60.00
_space_group_name_H-M_alt 'P 1'
_space_group_IT_number 1
loop_
_space_group_symop_operation_xyz
'x,y,z'
loop_
_atom_site_label
_atom_site_fract_x
_atom_site_fract_y
_atom_site_fract_z
Zn1 0.4160 0.9231 0.2449
Zn2 0.6651 0.6651 0.0047
Zn3 0.5840 0.5840 0.7551
Zn4 0.5000 0.5000 0.5000
Zn5 0.5840 0.0769 0.7551
Pm1 0.0000 0.0000 0.0000
Zn6 0.9231 0.4160 0.2449
Sm1 0.8595 0.8595 0.4216
Zn7 0.0769 0.5840 0.7551
Zn8 0.3349 0.3349 0.9953
Sm2 0.1405 0.1405 0.5784
Zn9 0.4160 0.4160 0.2449


# PrY3Ho2As6 PBE optimized geometry
# Calculated formation energy = -147.5 kJ per mole of atoms
# Space group = No. 12
# Theoretical density = 6.51 g cm⁻³
data_PrY3Ho2As6
_chemical_formula_sum 'Pr1 Y3 Ho2 As6'
_cell_length_a 7.1854
_cell_length_b 7.1854
_cell_length_c 7.1851
_cell_angle_alpha 99.60
_cell_angle_beta 99.60
_cell_angle_gamma 119.99
_space_group_name_H-M_alt 'P 1'
_space_group_IT_number 1
loop_
_space_group_symop_operation_xyz
'x,y,z'
loop_
_atom_site_label
_atom_site_fract_x
_atom_site_fract_y
_atom_site_fract_z
Y1 0.5000 0.5000 0.5000
As1 0.9157 0.5755 0.7473
As2 0.7436 0.7436 0.2516
Y2 0.1650 0.8350 0.5000
As3 0.4245 0.0843 0.2527
Ho1 0.3328 0.6672 0.0000
Ho2 0.6672 0.3328 0.0000
As4 0.0843 0.4245 0.2527
As5 0.5755 0.9157 0.7473
As6 0.2564 0.2564 0.7484
Pr1 0.0000 0.0000 0.0000
Y3 0.8350 0.1650 0.5000


# Ni2BiSe PBE optimized geometry
# Space group = No. 225
# Formation energy from raw total energies = 0.196 eV/atom
# ΔE to the lowest computed polymorph = 148 meV per atom
# Theoretical density = 9.91 g cm⁻³
data_Ni2BiSe
_chemical_formula_sum 'Ni2 Bi1 Se1'
_cell_length_a 4.5796
_cell_length_b 4.5796
_cell_length_c 4.5796
_cell_angle_alpha 60.00
_cell_angle_beta 60.00
_cell_angle_gamma 60.00
_space_group_name_H-M_alt 'P 1'
_space_group_IT_number 1
loop_
_space_group_symop_operation_xyz
'x,y,z'
loop_
_atom_site_label
_atom_site_fract_x
_atom_site_fract_y
_atom_site_fract_z
Ni1 0.2500 0.2500 0.2500
Se1 0.0000 0.0000 0.0000
Ni2 0.7500 0.7500 0.7500
Bi1 0.5000 0.5000 0.5000


# K3RbAu PBE optimized geometry
# Calculated formation energy = -10.1 kJ per mole of atoms
# Space group = No. 14
# ΔE to the lowest computed polymorph = 29 meV per atom
# Theoretical density = 2.31 g cm⁻³
data_K3RbAu
_chemical_formula_sum 'K12 Rb4 Au4'
_cell_length_a 37.7957
_cell_length_b 6.7938
_cell_length_c 13.5763
_cell_angle_alpha 90.00
_cell_angle_beta 160.76
_cell_angle_gamma 90.00
_space_group_name_H-M_alt 'P 1'
_space_group_IT_number 1
loop_
_space_group_symop_operation_xyz
'x,y,z'
loop_
_atom_site_label
_atom_site_fract_x
_atom_site_fract_y
_atom_site_fract_z
K1 0.8689 0.5927 0.5778
Au1 0.5747 0.5925 0.7671
K2 0.1311 0.4073 0.4222
Au2 0.9253 0.0925 0.7329
K3 0.1672 0.9683 0.2875
K4 0.6311 0.0927 0.9222
K5 0.3689 0.0016 0.5387
Au3 0.0747 0.9075 0.2671
K6 0.8689 0.4984 0.0387
K7 0.6311 0.9984 0.4613
Rb1 0.8984 0.0356 0.4004
K8 0.3689 0.9073 0.0778
Rb2 0.1016 0.9644 0.5996
Rb3 0.6016 0.5356 0.0996
K9 0.1311 0.5016 0.9613
K10 0.8328 0.0317 0.7125
K11 0.6672 0.5317 0.7875
Au4 0.4253 0.4075 0.2329
Rb4 0.3984 0.4644 0.9004
K12 0.3328 0.4683 0.2125


# AgHg2 PBE optimized geometry
# Calculated formation energy = 9.1 kJ per mole of atoms
# Space group = No. 12
# ΔE to the lowest computed polymorph = 41 meV per atom
# Theoretical density = 13.04 g cm⁻³
data_AgHg2
_chemical_formula_sum 'Ag2 Hg4'
_cell_length_a 5.9005
_cell_length_b 5.9005
_cell_length_c 12.0427
_cell_angle_alpha 140.89
_cell_angle_beta 140.89
_cell_angle_gamma 31.51
_space_group_name_H-M_alt 'P 1'
_space_group_IT_number 1
loop_
_space_group_symop_operation_xyz
'x,y,z'
loop_
_atom_site_label
_atom_site_fract_x
_atom_site_fract_y
_atom_site_fract_z
Ag1 0.6658 0.6658 0.3355
Hg1 0.9890 0.9890 0.9907
Hg2 0.4408 0.4408 0.3988
Hg3 0.3370 0.3370 0.6567
Ag2 0.1120 0.1120 0.7200
Hg4 0.7888 0.7888 0.0648


# Ag2PRh PBE optimized geometry
# Calculated formation energy = -10.6 kJ per mole of atoms
# Space group = No. 99
# Theoretical density = 8.93 g cm⁻³
data_Ag2PRh
_chemical_formula_sum 'Ag2 P1 Rh1'
_cell_length_a 3.0116
_cell_length_b 3.0116
_cell_length_c 7.1703
_cell_angle_alpha 90.00
_cell_angle_beta 90.00
_cell_angle_gamma 90.00
_space_group_name_H-M_alt 'P 1'
_space_group_IT_number 1
loop_
_space_group_symop_operation_xyz
'x,y,z'
loop_
_atom_site_label
_atom_site_fract_x
_atom_site_fract_y
_atom_site_fract_z
Ag1 0.0000 0.0000 0.9874
Rh1 0.5000 0.5000 0.6978
P1 0.0000 0.0000 0.5477
Ag2 0.5000 0.5000 0.2671


# KPICl2 PBE optimized geometry
# Space group = No. 123
# Formation energy from raw total energies = -0.161 eV/atom
# ΔE to the lowest computed polymorph = 0 meV per atom
# Theoretical density = 2.41 g cm⁻³
data_KPICl2
_chemical_formula_sum 'K1 P1 I1 Cl2'
_cell_length_a 6.0805
_cell_length_b 6.0805
_cell_length_c 4.9845
_cell_angle_alpha 90.00
_cell_angle_beta 90.00
_cell_angle_gamma 90.00
_space_group_name_H-M_alt 'P 1'
_space_group_IT_number 1
loop_
_space_group_symop_operation_xyz
'x,y,z'
loop_
_atom_site_label
_atom_site_fract_x
_atom_site_fract_y
_atom_site_fract_z
I1 0.0000 0.0000 0.0000
Cl1 0.0000 0.5000 0.0000
K1 0.5000 0.5000 0.5000
P1 0.0000 0.0000 0.5000
Cl2 0.5000 0.0000 0.0000


# Pm8Si3SbI4 PBE optimized geometry
# Space group = No. 166
# Formation energy from raw total energies = -0.983 eV/atom
# Theoretical density = 6.17 g cm⁻³
data_Pm8Si3SbI4
_chemical_formula_sum 'Pm8 Si3 Sb1 I4'
_cell_length_a 8.7212
_cell_length_b 9.1584
_cell_length_c 8.7202
_cell_angle_alpha 118.43
_cell_angle_beta 120.00
_cell_angle_gamma 90.00
_space_group_name_H-M_alt 'P 1'
_space_group_IT_number 1
loop_
_space_group_symop_operation_xyz
'x,y,z'
loop_
_atom_site_label
_atom_site_fract_x
_atom_site_fract_y
_atom_site_fract_z
Pm1 0.7576 0.3007 0.0431
Si1 0.5000 0.5000 0.5000
Si2 0.0000 0.5000 0.5000
I1 0.5000 0.0000 0.0000
I2 0.0000 0.0000 0.0000
I3 0.0000 0.0000 0.5000
Pm2 0.7315 0.6946 0.4631
Pm3 0.2424 0.6993 0.9569
Si3 0.5000 0.5000 0.0000
Pm4 0.2424 0.6993 0.4847
Sb1 0.0000 0.5000 0.0000
Pm5 0.7145 0.6993 0.9569
I4 0.5000 0.0000 0.5000
Pm6 0.2855 0.3007 0.0431
Pm7 0.2685 0.3054 0.5369
Pm8 0.7576 0.3007 0.5153


# K2Tb2US6 PBE optimized geometry
# Space group = No. 12
# Formation energy from raw total energies = -1.748 eV/atom
# Theoretical density = 4.32 g cm⁻³
data_K2Tb2US6
_chemical_formula_sum 'K2 Tb2 U1 S6'
_cell_length_a 6.9845
_cell_length_b 6.9845
_cell_length_c 7.8783
_cell_angle_alpha 98.60
_cell_angle_beta 98.60
_cell_angle_gamma 119.94
_space_group_name_H-M_alt 'P 1'
_space_group_IT_number 1
loop_
_space_group_symop_operation_xyz
'x,y,z'
loop_
_atom_site_label
_atom_site_fract_x
_atom_site_fract_y
_atom_site_fract_z
U1 0.0000 0.0000 0.5000
Tb1 0.3336 0.6664 0.5000
S1 0.7413 0.7413 0.6949
S2 0.2587 0.2587 0.3051
K1 0.1688 0.8312 0.0000
S3 0.0635 0.3931 0.6955
S4 0.3931 0.0635 0.6955
S5 0.6069 0.9365 0.3045
K2 0.8312 0.1688 0.0000
S6 0.9365 0.6069 0.3045
Tb2 0.6664 0.3336 0.5000


# Er3TeSe3 PBE optimized geometry
# Space group = No. 214
# Formation energy from raw total energies = -1.687 eV/atom
# ΔE to the lowest computed polymorph = 0 meV per atom
# Theoretical density = 7.17 g cm⁻³
data_Er3TeSe3
_chemical_formula_sum 'Er12 Te4 Se12'
_cell_length_a 10.1388
_cell_length_b 10.1388
_cell_length_c 10.1388
_cell_angle_alpha 109.47
_cell_angle_beta 109.47
_cell_angle_gamma 109.47
_space_group_name_H-M_alt 'P 1'
_space_group_IT_number 1
loop_
_space_group_symop_operation_xyz
'x,y,z'
loop_
_atom_site_label
_atom_site_fract_x
_atom_site_fract_y
_atom_site_fract_z
Er1 0.7623 0.5246 0.5123
Er2 0.4877 0.9754 0.2377
Se1 0.9956 0.2500 0.0044
Te1 0.7500 0.5000 0.0000
Se2 0.5087 0.7544 0.0044
Er3 0.7377 0.7500 0.2623
Er4 0.7377 0.9877 0.9754
Se3 0.5044 0.0087 0.7544
Er5 0.0123 0.7500 0.9877
Se4 0.7500 0.7456 0.7544
Se5 0.2456 0.4913 0.4956
Er6 0.4877 0.5123 0.7500
Te2 0.5000 0.2500 0.5000
Er7 0.2500 0.2623 0.2377
Se6 0.7500 0.0044 0.4956
Se7 0.2544 0.2500 0.7456
Er8 0.0246 0.5123 0.2623
Te3 0.7500 0.2500 0.2500
Er9 0.4754 0.2377 0.9877
Se8 0.9913 0.4956 0.7456
Er10 0.0123 0.2623 0.5246
Se9 0.2456 0.7544 0.2500
Se10 0.5044 0.4956 0.2500
Er11 0.7623 0.2377 0.7500
Se11 0.9956 0.7456 0.4913
Er12 0.2500 0.9877 0.5123
Se12 0.2544 0.0044 0.0087
Te4 0.0000 0.0000 0.2500